Record 1
The following is a DFT calculation (PBE-GGA) of ScSi2Tc after structural relaxation.

Calculated values
Magnetization (μB per formula unit): 0.0
E_form (uncorrected) (kJ/mol of atoms): 0.1
Raw total energy (eV for the cell shown): -27.54
Space group: R3m

Structure (POSCAR):
```
ScSi2Tc
1.0
1.532 0.884 8.026
-1.532 0.884 8.026
0.000 -1.768 8.026
Sc Si Tc
1 2 1
direct
0.000 0.000 0.000 Sc
0.506 0.506 0.506 Si
0.761 0.761 0.761 Si
0.245 0.245 0.245 Tc
```

---

Record 2
The following is a DFT calculation (PBE-GGA) of Nd3GaNi after structural relaxation.

Calculated values
Magnetization (μB per formula unit): 0.0
Raw total energy (eV for the cell shown): -49.36
Space group: P-1

Structure (POSCAR):
```
Nd3GaNi
1.0
3.846 0.000 0.000
1.920 8.154 0.000
0.006 0.232 8.534
Nd Ga Ni
6 2 2
direct
0.045 0.410 0.192 Nd
0.249 0.002 0.801 Nd
0.398 0.706 0.450 Nd
0.602 0.294 0.550 Nd
0.751 0.998 0.199 Nd
0.955 0.590 0.808 Nd
0.389 0.721 0.076 Ga
0.611 0.279 0.924 Ga
0.213 0.074 0.442 Ni
0.787 0.926 0.558 Ni
```

---

Record 3
The following is a DFT calculation (PBE-GGA) of Th2ScC2 after structural relaxation.

Calculated values
Magnetization (μB per formula unit): 0.0
Raw total energy (eV for the cell shown): -82.07
Space group: C2/m

Structure (POSCAR):
```
Th2ScC2
1.0
5.755 -2.696 0.000
5.755 2.696 0.000
-2.720 0.000 6.562
Th Sc C
4 2 4
direct
0.014 0.014 0.256 Th
0.331 0.331 0.908 Th
0.669 0.669 0.092 Th
0.986 0.986 0.744 Th
0.350 0.350 0.403 Sc
0.650 0.650 0.597 Sc
0.166 0.166 0.089 C
0.499 0.499 0.737 C
0.501 0.501 0.263 C
0.834 0.834 0.911 C
```